No. 1
The following is a PBE-GGA calculation of an optimized crystal structure of TmZn2CdAu2, from Alexandria via LeMat-Bulk.

Mass density ... 11.6 g/cm3
Calculated formation energy ... -0.468 eV/atom

a = 4.5519 Å, b = 4.5519 Å, c = 6.4484 Å
α = 90.00°, β = 90.00°, γ = 120.00°
With the nearest neighbours (Å) after each atom.
Element x y z (fractional)
Au (0.3333, 0.6667, 0.2474)  3 Zn 2.63
Au (0.6667, 0.3333, 0.7526)  3 Zn 2.63
Zn (0.6667, 0.3333, 0.2698)  3 Au 2.63
Zn (0.3333, 0.6667, 0.7302)  3 Au 2.63
Cd (0.0000, 0.0000, 0.5000)  6 Zn 3.02, 6 Au 3.09, 2 Tm 3.22
Tm (0.0000, 0.0000, 0.0000)  6 Au 3.07, 6 Zn 3.15, 2 Cd 3.22

No. 2
The following is a PBE-GGA calculation of an optimized crystal structure of PrNd5Tl6, from Alexandria via LeMat-Bulk.

Mass density ... 9.7 g/cm3
Calculated formation energy ... -0.390 eV/atom

a = 5.5357 Å, b = 9.5692 Å, c = 9.5879 Å
α = 60.06°, β = 73.20°, γ = 54.60°
With the nearest neighbours (Å) after each atom.
Element x y z (fractional)
Nd (0.0000, 0.3328, 0.3344)  8 Tl 3.38
Nd (0.0000, 0.6672, 0.6656)  8 Tl 3.38
Nd (0.5000, 0.1657, 0.6687)  8 Tl 3.39
Nd (0.5000, 0.5000, 0.0000)  8 Tl 3.37-3.39
Nd (0.5000, 0.8343, 0.3313)  8 Tl 3.39
Tl (0.7530, 0.7474, 0.0000)  6 Nd 3.37-3.39, 2 Pr 3.40
Tl (0.2470, 0.2526, 0.0000)  6 Nd 3.37-3.39, 2 Pr 3.40
Tl (0.2514, 0.5814, 0.3346)  7 Nd 3.38-3.39, 1 Pr 3.40
Tl (0.7486, 0.4186, 0.6654)  7 Nd 3.38-3.39, 1 Pr 3.40
Tl (0.2514, 0.9160, 0.6654)  7 Nd 3.38-3.39, 1 Pr 3.40
Tl (0.7486, 0.0840, 0.3346)  7 Nd 3.38-3.39, 1 Pr 3.40
Pr (0.0000, 0.0000, 0.0000)  8 Tl 3.40

No. 3
The following is a PBE-GGA calculation of an optimized crystal structure of GeW2Br, from Alexandria via LeMat-Bulk.

E above lowest polymorph ... 0.0 kJ per mole of atoms
Mass density ... 13.5 g/cm3
Formation energy without anion corrections ... 3.940 eV per formula unit

a = 4.4934 Å, b = 4.4934 Å, c = 4.4934 Å
α = 60.00°, β = 60.00°, γ = 60.00°
With the nearest neighbours (Å) after each atom.
Element x y z (fractional)
W (0.7500, 0.7500, 0.7500)  4 Ge 2.75, 4 Br 2.75
W (0.2500, 0.2500, 0.2500)  4 Ge 2.75, 4 Br 2.75
Br (0.5000, 0.5000, 0.5000)  8 W 2.75
Ge (0.0000, 0.0000, 0.0000)  8 W 2.75

No. 4
The following is a PBE-GGA calculation of an optimized crystal structure of MgInGaAu, from Alexandria via LeMat-Bulk.

Mass density ... 8.3 g/cm3
Calculated formation energy ... -0.179 eV/atom

a = 4.8679 Å, b = 4.8679 Å, c = 4.8679 Å
α = 60.00°, β = 60.00°, γ = 60.00°
With the nearest neighbours (Å) after each atom.
Element x y z (fractional)
Mg (0.5000, 0.5000, 0.5000)  4 Ga 2.98, 4 Au 2.98
Au (0.7500, 0.7500, 0.7500)  4 In 2.98, 4 Mg 2.98
In (0.0000, 0.0000, 0.0000)  4 Au 2.98, 4 Ga 2.98
Ga (0.2500, 0.2500, 0.2500)  4 In 2.98, 4 Mg 2.98

Which value of mass density does entry 2 give? 9.7 g/cm3